A relaxed MgScNi17 crystal, computed with PBE.

Unit cell a=6.1805 b=6.1805 c=6.1805 alpha=82.62 beta=82.62 gamma=82.62
Closest atoms and distances in Å follow each position.
Element x y z (fractional)
Ni 0.8453 0.3477 0.3477  9 Ni 2.36-2.56
Ni 0.8997 0.8997 0.8997  7 Ni 2.40-2.56
Ni 0.7006 0.2996 0.9992  8 Ni 2.36-2.50
Ni 0.3477 0.3477 0.8453  9 Ni 2.36-2.56
Ni 0.0994 0.0994 0.0994  7 Ni 2.40-2.56
Ni 0.5004 0.9998 0.9998  10 Ni 2.36-2.49
Ni 0.2996 0.9992 0.7006  8 Ni 2.36-2.50
Ni 0.3477 0.8453 0.3477  9 Ni 2.36-2.56
Ni 0.9998 0.5004 0.9998  10 Ni 2.36-2.49
Ni 0.2996 0.7006 0.9992  8 Ni 2.36-2.50
Ni 0.9992 0.2996 0.7006  8 Ni 2.36-2.50
Ni 0.9992 0.7006 0.2996  8 Ni 2.36-2.50
Ni 0.9998 0.9998 0.5004  10 Ni 2.36-2.49
Ni 0.6514 0.1561 0.6514  9 Ni 2.36-2.56
Ni 0.1561 0.6514 0.6514  9 Ni 2.36-2.56
Ni 0.6514 0.6514 0.1561  9 Ni 2.36-2.56
Ni 0.7006 0.9992 0.2996  8 Ni 2.36-2.50
Mg 0.3404 0.3404 0.3404  19 Ni 2.87-3.15
Sc 0.6624 0.6624 0.6624  19 Ni 2.85-3.15

## Properties
The value obtained for the density of states at the Fermi level is 27.72 states/eV per cell. The magnetic moment is 8.131 μB per cell. The calculation puts the total energy at -5.663 eV/atom.